[1]
## CdCuTc2 (PBE)

Data for a relaxed CdCuTc2 crystal.

Calculated values
The spin magnetization is 0.0 μB per formula unit. For the formation energy, the calculation gives 0.39 eV per atom.

a = 4.013 Å, b = 4.013 Å, c = 7.518 Å
α = 90.00°, β = 90.00°, γ = 90.00°
Space group I-4m2 (No. 119)
One atom of each set of equivalent atoms:
1 Cd 0.000 0.000 0.000
2 Cu 0.000 0.500 0.750
3 Tc 0.000 0.000 0.500
4 Tc 0.000 0.500 0.250

[2]
## PmPuBi2 (PBE)

Data for a relaxed PmPuBi2 crystal.

Calculated values
The spin magnetization is 5.7 μB per formula unit. For the formation energy, the calculation gives -0.55 eV per atom. The energy above the most stable polymorph in this dataset comes out at 0.0844 eV/atom.

a = 5.926 Å, b = 5.926 Å, c = 3.414 Å
α = 90.00°, β = 90.00°, γ = 90.00°
Space group P4/mmm (No. 123)
One atom of each set of equivalent atoms:
1 Pm 0.000 0.000 0.000
2 Pu 0.500 0.500 0.000
3 Bi 0.000 0.500 0.500

[3]
## ZrCuTeI2 (PBE)

Data for a relaxed ZrCuTeI2 crystal.

Calculated values
The spin magnetization is 0.0 μB per formula unit. As for the formation energy (no corrections): 55 kJ/mol of formula units. The energy above the most stable polymorph in this dataset comes out at 0.0000 eV/atom.

a = 5.739 Å, b = 5.739 Å, c = 5.619 Å
α = 90.00°, β = 90.00°, γ = 90.00°
Space group P4/mmm (No. 123)
One atom of each set of equivalent atoms:
1 Zr 0.000 0.000 0.000
2 Cu 0.500 0.500 0.500
3 Te 0.000 0.000 0.500
4 I 0.000 0.500 0.000

[4]
## CaDyInGa (PBE)

Data for a relaxed CaDyInGa crystal.

Calculated values
The spin magnetization is 0.0 μB per formula unit. For the formation energy, the calculation gives -0.45 eV per atom. The energy above the most stable polymorph in this dataset comes out at 0.0429 eV/atom.

a = 7.437 Å, b = 7.437 Å, c = 7.437 Å
α = 90.00°, β = 90.00°, γ = 90.00°
Space group F-43m (No. 216)
One atom of each set of equivalent atoms:
1 Ca 0.000 0.000 0.000
2 Dy 0.000 0.000 0.500
3 In 0.250 0.250 0.250
4 Ga 0.250 0.250 0.750

[5]
## Pa3Ga4Fe4 (PBE)

Data for a relaxed Pa3Ga4Fe4 crystal.

Calculated values
The spin magnetization is 0.4 μB per formula unit. For the formation energy, the calculation gives -0.30 eV per atom.

a = 3.442 Å, b = 7.727 Å, c = 13.795 Å
α = 90.00°, β = 90.00°, γ = 90.00°
Space group Immm (No. 71)
One atom of each set of equivalent atoms:
1 Pa 0.000 0.000 0.000
2 Pa 0.000 0.500 0.115
3 Ga 0.000 0.310 0.324
4 Fe 0.000 0.000 0.252
5 Fe 0.000 0.254 0.500

[6]
## BaCd2RhPb (PBE)

Data for a relaxed BaCd2RhPb crystal.

Calculated values
The spin magnetization is 0.0 μB per formula unit. For the formation energy, the calculation gives -0.27 eV per atom.

a = 5.292 Å, b = 5.292 Å, c = 5.252 Å
α = 90.00°, β = 90.00°, γ = 90.00°
Space group P4/mmm (No. 123)
One atom of each set of equivalent atoms:
1 Ba 0.000 0.000 0.000
2 Cd 0.000 0.500 0.500
3 Rh 0.500 0.500 0.500
4 Pb 0.500 0.500 0.000

[7]
## SmTmIn2Se4 (PBE)

Data for a relaxed SmTmIn2Se4 crystal.

Calculated values
The spin magnetization is 0.0 μB per formula unit. As for the formation energy (no corrections): -995 kJ/mol of formula units.

a = 7.222 Å, b = 4.168 Å, c = 8.110 Å
α = 90.00°, β = 107.26°, γ = 90.00°
Space group P2/m (No. 10)
One atom of each set of equivalent atoms:
1 Sm 0.000 0.000 0.000
2 Tm 0.500 0.500 0.000
3 In 0.000 0.500 0.500
4 In 0.500 0.000 0.500
5 Se 0.245 0.500 0.211
6 Se 0.272 0.000 0.793

[8]
## Ba2Na (PBE)

Data for a relaxed Ba2Na crystal.

Calculated values
The spin magnetization is 0.0 μB per formula unit. For the formation energy, the calculation gives 0.02 eV per atom. The energy above the most stable polymorph in this dataset comes out at 0.0000 eV/atom.

a = 4.644 Å, b = 4.644 Å, c = 15.725 Å
α = 90.00°, β = 90.00°, γ = 90.00°
Space group I4/mmm (No. 139)
One atom of each set of equivalent atoms:
1 Ba 0.000 0.000 0.149
2 Na 0.000 0.000 0.500

[9]
## CsPdI2Cl (PBE)

Data for a relaxed CsPdI2Cl crystal.

Calculated values
The spin magnetization is 0.0 μB per formula unit. As for the formation energy (no corrections): -390 kJ/mol of formula units.

a = 5.670 Å, b = 5.670 Å, c = 5.168 Å
α = 90.00°, β = 90.00°, γ = 90.00°
Space group P4/mmm (No. 123)
One atom of each set of equivalent atoms:
1 Cs 0.000 0.000 0.000
2 Pd 0.500 0.500 0.500
3 I 0.000 0.500 0.500
4 Cl 0.500 0.500 0.000

[10]
## Ru7Pt (PBE)

Data for a relaxed Ru7Pt crystal.

Calculated values
The spin magnetization is 0.0 μB per formula unit. For the formation energy, the calculation gives 0.09 eV per atom.

a = 7.674 Å, b = 7.674 Å, c = 7.674 Å
α = 90.00°, β = 90.00°, γ = 90.00°
Space group Fm-3m (No. 225)
One atom of each set of equivalent atoms:
1 Ru 0.000 0.000 0.000
2 Ru 0.000 0.250 0.250
3 Pt 0.000 0.000 0.500

[11]
## CaTi3Sb (PBE)

Data for a relaxed CaTi3Sb crystal.

Calculated values
The spin magnetization is 2.2 μB per formula unit. As for the formation energy (no corrections): 702 kJ/mol of formula units. The energy above the most stable polymorph in this dataset comes out at 0.8571 eV/atom.

a = 4.749 Å, b = 4.749 Å, c = 4.749 Å
α = 90.00°, β = 90.00°, γ = 90.00°
Space group Pm-3m (No. 221)
One atom of each set of equivalent atoms:
1 Ca 0.000 0.000 0.000
2 Ti 0.000 0.000 0.500
3 Sb 0.500 0.500 0.500

[12]
## ZnHgNF2 (PBE)

Data for a relaxed ZnHgNF2 crystal.

Calculated values
The spin magnetization is 1.2 μB per formula unit. As for the formation energy (no corrections): 99 kJ/mol of formula units. The energy above the most stable polymorph in this dataset comes out at 0.6220 eV/atom.

a = 4.620 Å, b = 4.620 Å, c = 4.228 Å
α = 90.00°, β = 90.00°, γ = 90.00°
Space group P4/mmm (No. 123)
One atom of each set of equivalent atoms:
1 Zn 0.000 0.000 0.000
2 Hg 0.500 0.500 0.500
3 N 0.500 0.500 0.000
4 F 0.000 0.500 0.500

[13]
## MgAg14Ge (PBE)

Data for a relaxed MgAg14Ge crystal.

Calculated values
The spin magnetization is 0.0 μB per formula unit. For the formation energy, the calculation gives 0.01 eV per atom.

a = 9.568 Å, b = 5.909 Å, c = 10.158 Å
α = 90.00°, β = 90.00°, γ = 90.00°
Space group Amm2 (No. 38)
One atom of each set of equivalent atoms:
1 Mg 0.000 0.000 0.000
2 Ag 0.000 0.249 0.751
3 Ag 0.249 0.249 0.081
4 Ag 0.250 0.000 0.332
5 Ag 0.251 0.000 0.832
6 Ag 0.500 0.000 0.164
7 Ag 0.500 0.000 0.663
8 Ag 0.500 0.249 0.414
9 Ge 0.000 0.000 0.504

[14]
## CaGa2Pt (PBE)

Data for a relaxed CaGa2Pt crystal.

Calculated values
The spin magnetization is 0.0 μB per formula unit. For the formation energy, the calculation gives -0.67 eV per atom.

a = 4.3284 Å, b = 4.3284 Å, c = 15.2199 Å
α = 90.00°, β = 90.00°, γ = 120.00°
Space group R-3m (No. 166, hexagonal axes)
One atom of each set of equivalent atoms:
1 Ca 0.0000 0.0000 0.0000
2 Ga 0.0000 0.0000 0.2117
3 Pt 0.0000 0.0000 0.5000

[15]
## Tb4DyLu (PBE)

Data for a relaxed Tb4DyLu crystal.

Calculated values
The spin magnetization is 0.0 μB per formula unit. For the formation energy, the calculation gives 0.26 eV per atom.

a = 9.224 Å, b = 9.224 Å, c = 9.224 Å
α = 90.00°, β = 90.00°, γ = 90.00°
Space group F-43m (No. 216)
One atom of each set of equivalent atoms:
1 Tb 0.125 0.125 0.125
2 Dy 0.250 0.250 0.750
3 Lu 0.000 0.000 0.500

[16]
## Cd2MoIr (PBE)

Data for a relaxed Cd2MoIr crystal.

Calculated values
The spin magnetization is 0.0 μB per formula unit. For the formation energy, the calculation gives 0.35 eV per atom. The energy above the most stable polymorph in this dataset comes out at 0.3350 eV/atom.

a = 9.860 Å, b = 2.901 Å, c = 4.940 Å
α = 90.00°, β = 100.91°, γ = 90.00°
Space group C2/m (No. 12)
One atom of each set of equivalent atoms:
1 Cd 0.246 0.000 0.247
2 Mo 0.000 0.000 0.500
3 Ir 0.000 0.500 0.000

[17]
## B2C (PBE)

Data for a relaxed B2C crystal.

Calculated values
The spin magnetization is 0.0 μB per formula unit. For the formation energy, the calculation gives 0.47 eV per atom. The energy above the most stable polymorph in this dataset comes out at 0.2817 eV/atom.

a = 14.265 Å, b = 2.664 Å, c = 4.919 Å
α = 90.00°, β = 107.45°, γ = 90.00°
Space group Cm (No. 8)
One atom of each set of equivalent atoms:
1 B 0.000 0.000 0.000
2 B 0.002 0.000 0.658
3 B 0.157 0.500 0.282
4 B 0.179 0.000 0.809
5 B 0.307 0.000 0.572
6 B 0.309 0.500 0.169
7 B 0.381 0.500 0.793
8 B 0.477 0.000 0.403
9 C 0.028 0.500 0.163
10 C 0.191 0.000 0.502
11 C 0.195 0.500 0.995
12 C 0.358 0.000 0.311

[18]
## Sm2RuBr (PBE)

Data for a relaxed Sm2RuBr crystal.

Calculated values
The spin magnetization is 0.0 μB per formula unit. As for the formation energy (no corrections): -284 kJ/mol of formula units. The energy above the most stable polymorph in this dataset comes out at 0.0164 eV/atom.

a = 4.0277 Å, b = 4.0277 Å, c = 23.5921 Å
α = 90.00°, β = 90.00°, γ = 120.00°
Space group R3m (No. 160, hexagonal axes)
One atom of each set of equivalent atoms:
1 Sm 0.0000 0.0000 0.0000
2 Sm 0.0000 0.0000 0.2030
3 Ru 0.0000 0.0000 0.6014
4 Br 0.0000 0.0000 0.4330

[19]
## NdSmSiSe (PBE)

Data for a relaxed NdSmSiSe crystal.

Calculated values
The spin magnetization is 0.0 μB per formula unit. As for the formation energy (no corrections): -502 kJ/mol of formula units.

a = 4.2214 Å, b = 4.2214 Å, c = 20.9919 Å
α = 90.00°, β = 90.00°, γ = 120.00°
Space group R3m (No. 160, hexagonal axes)
One atom of each set of equivalent atoms:
1 Nd 0.0000 0.0000 0.0000
2 Sm 0.0000 0.0000 0.4928
3 Si 0.0000 0.0000 0.7473
4 Se 0.0000 0.0000 0.2450

[20]
## KMnSi2Rh (PBE)

Data for a relaxed KMnSi2Rh crystal.

Calculated values
The spin magnetization is 4.4 μB per formula unit. As for the formation energy (no corrections): 311 kJ/mol of formula units. The energy above the most stable polymorph in this dataset comes out at 0.3602 eV/atom.

a = 4.611 Å, b = 4.611 Å, c = 5.762 Å
α = 90.00°, β = 90.00°, γ = 90.00°
Space group P4/mmm (No. 123)
One atom of each set of equivalent atoms:
1 K 0.000 0.000 0.000
2 Mn 0.500 0.500 0.000
3 Si 0.000 0.500 0.500
4 Rh 0.000 0.000 0.500

[21]
## PmSbPd3 (PBE)

Data for a relaxed PmSbPd3 crystal.

Calculated values
The spin magnetization is 0.0 μB per formula unit. As for the formation energy (no corrections): -328 kJ/mol of formula units.

a = 5.511 Å, b = 8.039 Å, c = 9.244 Å
α = 90.00°, β = 90.00°, γ = 90.00°
Space group Imma (No. 74)
One atom of each set of equivalent atoms:
1 Pm 0.000 0.250 0.000
2 Sb 0.000 0.000 0.500
3 Pd 0.000 0.250 0.316
4 Pd 0.250 0.063 0.750

[22]
## NaHf2Ga (PBE)

Data for a relaxed NaHf2Ga crystal.

Calculated values
The spin magnetization is 0.0 μB per formula unit. For the formation energy, the calculation gives 0.61 eV per atom.

a = 4.174 Å, b = 4.174 Å, c = 21.067 Å
α = 90.00°, β = 90.00°, γ = 90.00°
Space group I-42d (No. 122)
One atom of each set of equivalent atoms:
1 Na 0.000 0.000 0.000
2 Hf 0.231 0.250 0.625
3 Ga 0.000 0.000 0.500

[23]
## CsCuWS4 (PBE)

Data for a relaxed CsCuWS4 crystal.

Calculated values
The spin magnetization is 0.0 μB per formula unit. As for the formation energy (no corrections): -509 kJ/mol of formula units.

a = 5.516 Å, b = 7.883 Å, c = 10.217 Å
α = 90.00°, β = 105.32°, γ = 90.00°
Space group P2_1/m (No. 11)
One atom of each set of equivalent atoms:
1 Cs 0.187 0.250 0.344
2 Cu 0.362 0.750 0.218
3 W 0.139 0.250 0.782
4 S 0.009 0.750 0.037
5 S 0.189 0.750 0.404
6 S 0.375 0.021 0.784

[24]
## Ga4Pb2Au9 (PBE)

Data for a relaxed Ga4Pb2Au9 crystal.

Calculated values
The spin magnetization is 0.0 μB per formula unit. For the formation energy, the calculation gives -0.09 eV per atom.

a = 4.3206 Å, b = 4.3206 Å, c = 19.4423 Å
α = 90.00°, β = 90.00°, γ = 120.00°
Space group P-3m1 (No. 164)
One atom of each set of equivalent atoms:
1 Ga 0.3333 0.6667 0.0946
2 Ga 0.3333 0.6667 0.3842
3 Pb 0.3333 0.6667 0.7608
4 Au 0.0000 0.0000 0.1409
5 Au 0.0000 0.0000 0.3288
6 Au 0.0000 0.0000 0.5000
7 Au 0.3333 0.6667 0.5688
8 Au 0.3333 0.6667 0.9568

[25]
## Ru2RhW (PBE)

Data for a relaxed Ru2RhW crystal.

Calculated values
The spin magnetization is 0.0 μB per formula unit. For the formation energy, the calculation gives 0.06 eV per atom. The energy above the most stable polymorph in this dataset comes out at 0.1767 eV/atom.

a = 2.751 Å, b = 2.751 Å, c = 7.714 Å
α = 90.00°, β = 90.00°, γ = 90.00°
Space group P4/mmm (No. 123)
One atom of each set of equivalent atoms:
1 Ru 0.000 0.000 0.249
2 Rh 0.500 0.500 0.000
3 W 0.500 0.500 0.500

[26]
## RuPbI3 (PBE)

Data for a relaxed RuPbI3 crystal.

Calculated values
The spin magnetization is 0.0 μB per formula unit. As for the formation energy (no corrections): 104 kJ/mol of formula units. The energy above the most stable polymorph in this dataset comes out at 0.0000 eV/atom.

a = 5.408 Å, b = 5.408 Å, c = 5.408 Å
α = 90.00°, β = 90.00°, γ = 90.00°
Space group Pm-3m (No. 221)
One atom of each set of equivalent atoms:
1 Ru 0.000 0.000 0.000
2 Pb 0.500 0.500 0.500
3 I 0.000 0.000 0.500

| no. | VASP energy (eV/f.u.) |
| --- | --- |
| 1 | -24.2 |
| 2 | -29.0 |
| 3 | -18.3 |
| 4 | -14.2 |
| 5 | -77.8 |
| 6 | -16.2 |
| 7 | -38.9 |
| 8 | -5.1 |
| 9 | -15.0 |
| 10 | -70.2 |
| 11 | -22.5 |
| 12 | -12.6 |
| 13 | -45.9 |
| 14 | -16.8 |
| 15 | -26.1 |
| 16 | -20.1 |
| 17 | -21.2 |
| 18 | -23.3 |
| 19 | -23.6 |
| 20 | -25.2 |
| 21 | -27.9 |
| 22 | -21.8 |
| 23 | -39.7 |
| 24 | -50.3 |
| 25 | -38.6 |
| 26 | -16.6 |